Density functional theory data (GGA-PBEsol) for a geometry-optimized TlNi6Sb structure.

Cell: 6.4004 6.4004 10.4587 Å, 90.00 90.00 109.48°
Atoms (fractional coordinates):
Tl  0.0000  0.0000  0.2490
Tl  0.0000  0.0000  0.7510
Tl  0.2471  0.7529  0.0000
Tl  0.7529  0.2471  0.0000
Ni  0.0000  0.0000  0.0000
Ni  0.0000  0.0000  0.5000
Ni  0.1285  0.3791  0.3776
Ni  0.1285  0.3791  0.6224
Ni  0.1300  0.3795  0.1281
Ni  0.1300  0.3795  0.8719
Ni  0.2514  0.7486  0.2553
Ni  0.2514  0.7486  0.7447
Ni  0.3791  0.1285  0.3776
Ni  0.3791  0.1285  0.6224
Ni  0.3795  0.1300  0.1281
Ni  0.3795  0.1300  0.8719
Ni  0.5000  0.5000  0.0000
Ni  0.5000  0.5000  0.5000
Ni  0.6205  0.8700  0.1281
Ni  0.6205  0.8700  0.8719
Ni  0.6209  0.8715  0.3776
Ni  0.6209  0.8715  0.6224
Ni  0.7486  0.2514  0.2553
Ni  0.7486  0.2514  0.7447
Ni  0.8700  0.6205  0.1281
Ni  0.8700  0.6205  0.8719
Ni  0.8715  0.6209  0.3776
Ni  0.8715  0.6209  0.6224
Sb  0.2479  0.7521  0.5000
Sb  0.5000  0.5000  0.2479
Sb  0.5000  0.5000  0.7521
Sb  0.7521  0.2479  0.5000

DOS at the Fermi energy ... 27.9 states/eV/cell
Total energy ... -5.5441 eV/atom
Raw formation energy ... -0.0275 eV per atom

=====

Density functional theory data (GGA-PBEsol) for a geometry-optimized CrCdTc structure.

Cell: 7.1274 6.9284 2.6901 Å, 83.16 74.83 22.01°
Atoms (fractional coordinates):
Cr  0.0000  0.0000  0.0000
Cd  0.3222  0.3222  0.6778
Tc  0.6353  0.6353  0.3647

DOS at the Fermi energy ... 3.0 states/eV/cell
Energy relative to the lowest polymorph listed for this composition ... 0.000 eV/atom
Total energy ... -7.1705 eV/atom
Formation energy from the elements ... 0.3979 eV/atom

=====

Density functional theory data (GGA-PBEsol) for a geometry-optimized LiMnN2 structure.

Cell: 3.4533 3.4533 3.4533 Å, 60.00 60.00 60.00°
Atoms (fractional coordinates):
Li  0.0000  0.0000  0.0000
Mn  0.5000  0.5000  0.5000
N  0.2500  0.2500  0.2500
N  0.7500  0.7500  0.7500

DOS at the Fermi energy ... 2.0 states/eV/cell
Energy relative to the lowest polymorph listed for this composition ... 0.618 eV/atom
Total energy ... -7.0111 eV/atom
Raw formation energy ... 0.1842 eV per atom

=====

What did the third record say?
Density functional theory data (GGA-PBEsol) for a geometry-optimized LiMnN2 structure.

Cell: 3.4533 3.4533 3.4533 Å, 60.00 60.00 60.00°
Atoms (fractional coordinates):
Li  0.0000  0.0000  0.0000
Mn  0.5000  0.5000  0.5000
N  0.2500  0.2500  0.2500
N  0.7500  0.7500  0.7500

DOS at the Fermi energy ... 2.0 states/eV/cell
Energy relative to the lowest polymorph listed for this composition ... 0.618 eV/atom
Total energy ... -7.0111 eV/atom
Raw formation energy ... 0.1842 eV per atom